A relaxed Ta5Sb4 crystal. Source: OQMD, functional GGA-PBE.

Results
Density, Mg/m³: 12.14
V, Å³/atom: 21.15
Final energy, eV per atom: -8.58

a = 10.324 Å, b = 10.324 Å, c = 3.571 Å
α = 90.00°, β = 90.00°, γ = 90.00°
Space group I4/m (No. 87)
Asymmetric unit:
Ta  0.000  0.000  0.000 [2 per cell]
Ta  0.129  0.187  0.500 [8 per cell]
Sb  0.052  0.703  0.000 [8 per cell]